The following is a DFT calculation (PBE) of an optimized crystal structure of PrTmCd6.

Cell: 4.857 6.474 6.474 Å, 67.57 90.00 90.00°
Atoms (fractional coordinates):
Cd 0.500 0.619 0.189
Cd 0.000 0.329 0.329
Cd 0.000 0.805 0.384
Cd 0.500 0.189 0.619
Cd 0.500 0.678 0.678
Cd 0.000 0.384 0.805
Pr 0.500 0.133 0.133
Tm 0.000 0.864 0.864

Summary:
Total magnetic moment in Bohr magnetons per cell: 0.01
Total DFT energy (no corrections) in eV per cell: -16.8
Formation energy from the elements in meV/atom: -276